Entry 1:
The following is a PBE-GGA calculation of Cs2TaI6Br after structural relaxation, from the Alexandria database.

Cell: 8.933 8.933 8.932 Å, 60.00 60.00 90.00°
Positions (direct):
Cs (0.750, 0.250, 0.500)
Cs (0.250, 0.750, 0.500)
I (0.220, 0.220, 0.559)
I (0.780, 0.780, 0.441)
I (0.221, 0.221, 0.000)
I (0.779, 0.779, 0.000)
I (0.779, 0.221, 0.000)
I (0.221, 0.779, 0.000)
Br (0.500, 0.500, 0.000)
Ta (0.000, 0.000, 0.000)

Entry 2:
The following is a PBE-GGA calculation of Cs2TaI2Br4 after structural relaxation, from the Alexandria database.

Cell: 8.055 8.055 8.055 Å, 89.96 120.02 120.02°
Site moments in Bohr magnetons follow the coordinates.
Positions (direct):
Cs (0.500, 0.750, 0.250)  0.00
Cs (0.500, 0.250, 0.750)  0.00
Ta (0.000, 0.000, 0.000)  0.72
I (0.000, 0.752, 0.752)  -0.01
I (0.000, 0.248, 0.248)  -0.01
Br (0.000, 0.773, 0.227)  0.00
Br (0.547, 0.773, 0.773)  0.00
Br (0.000, 0.227, 0.773)  0.00
Br (0.453, 0.227, 0.227)  0.00

Entry 3:
The following is a PBE-GGA calculation of Cs2TaI4Br2 after structural relaxation, from the Alexandria database.

Cell: 6.996 8.083 8.083 Å, 61.61 96.27 96.27°
Site moments in Bohr magnetons follow the coordinates.
Positions (direct):
Cs (0.279, 0.654, 0.654)  0.00
Cs (0.721, 0.346, 0.346)  0.00
Ta (0.500, 0.000, 0.000)  0.72
I (0.259, 0.662, 0.146)  0.00
I (0.741, 0.854, 0.338)  0.00
I (0.741, 0.338, 0.854)  0.00
I (0.259, 0.146, 0.662)  0.00
Br (0.296, 0.139, 0.139)  -0.01
Br (0.704, 0.861, 0.861)  -0.01

Entry 4:
The following is a PBE-GGA calculation of Cs2TcIBr5 after structural relaxation, from the Alexandria database.

Cell: 7.879 7.879 7.879 Å, 91.60 119.08 119.08°
Site moments in Bohr magnetons follow the coordinates.
Positions (direct):
Cs (0.500, 0.252, 0.752)  0.01
Cs (0.500, 0.752, 0.252)  0.01
Tc (0.000, 0.002, 0.002)  2.32
I (0.000, 0.752, 0.752)  0.02
Br (0.451, 0.227, 0.227)  0.04
Br (0.549, 0.776, 0.776)  0.04
Br (0.000, 0.776, 0.227)  0.04
Br (0.000, 0.227, 0.776)  0.04
Br (0.000, 0.235, 0.235)  0.04

Entry 5:
The following is a PBE-GGA calculation of CsTe2IBr after structural relaxation, from the Alexandria database.

Cell: 5.621 5.621 8.142 Å, 90.00 90.00 90.00°
Site moments in Bohr magnetons follow the coordinates.
Positions (direct):
Cs (0.500, 0.500, 0.500)  0.00
I (0.000, 0.000, 0.500)  0.11
Te (0.000, 0.500, 0.000)  0.34
Te (0.500, 0.000, 0.000)  0.34
Br (0.000, 0.000, 0.000)  0.07

Entry 6:
The following is a PBE-GGA calculation of CsTeIBr2 after structural relaxation, from the Alexandria database.

Cell: 6.010 6.010 5.961 Å, 90.00 90.00 90.00°
Positions (direct):
Cs (0.500, 0.500, 0.500)
I (0.000, 0.000, 0.500)
Te (0.000, 0.000, 0.000)
Br (0.000, 0.500, 0.000)
Br (0.500, 0.000, 0.000)

Entry 7:
The following is a PBE-GGA calculation of Cs6TeI2Br2 after structural relaxation, from the Alexandria database.

Cell: 9.405 9.405 9.564 Å, 99.58 99.58 120.16°
Site moments in Bohr magnetons follow the coordinates.
Positions (direct):
Cs (0.759, 0.759, 0.727)  0.00
Cs (0.052, 0.402, 0.717)  0.00
Cs (0.241, 0.241, 0.273)  0.00
Cs (0.402, 0.052, 0.717)  0.00
Cs (0.948, 0.598, 0.283)  0.00
Cs (0.598, 0.948, 0.283)  0.00
Te (0.000, 0.000, 0.500)  0.08
I (0.828, 0.172, 0.000)  0.00
I (0.172, 0.828, 0.000)  0.00
Br (0.340, 0.660, 0.500)  0.00
Br (0.660, 0.340, 0.500)  0.00

Entry 8:
The following is a PBE-GGA calculation of Cs2TeI4Br2 after structural relaxation, from the Alexandria database.

Cell: 8.375 8.375 8.375 Å, 90.14 119.92 119.92°
Positions (direct):
Cs (0.500, 0.750, 0.250)
Cs (0.500, 0.250, 0.750)
Te (0.000, 0.000, 0.000)
I (0.000, 0.749, 0.251)
I (0.499, 0.749, 0.749)
I (0.000, 0.251, 0.749)
I (0.501, 0.251, 0.251)
Br (0.000, 0.768, 0.768)
Br (0.000, 0.232, 0.232)

Entry 9:
The following is a PBE-GGA calculation of Cs8TeI4Br3 after structural relaxation, from the Alexandria database.

Cell: 10.933 10.806 10.932 Å, 120.39 120.00 90.00°
Site moments in Bohr magnetons follow the coordinates.
Positions (direct):
Cs (0.251, 0.738, 0.987)  0.00
Cs (0.251, 0.738, 0.502)  0.00
Cs (0.255, 0.265, 0.510)  0.00
Cs (0.736, 0.738, 0.987)  0.00
Cs (0.264, 0.262, 0.013)  0.00
Cs (0.745, 0.735, 0.490)  0.00
Cs (0.749, 0.262, 0.498)  0.00
Cs (0.749, 0.262, 0.013)  0.00
Te (0.000, 0.500, 0.000)  0.43
I (0.500, 0.000, 0.000)  0.01
I (0.500, 0.000, 0.500)  0.01
I (0.000, 0.000, 0.000)  0.01
I (0.000, 0.000, 0.500)  0.01
Br (0.500, 0.500, 0.000)  0.00
Br (0.500, 0.500, 0.500)  0.00
Br (0.000, 0.500, 0.500)  0.00

Entry 10:
The following is a PBE-GGA calculation of Cs6TeI3Br2 after structural relaxation, from the Alexandria database.

Cell: 5.358 11.069 12.122 Å, 101.96 102.77 90.00°
Site moments in Bohr magnetons follow the coordinates.
Positions (direct):
Cs (0.330, 0.900, 0.661)  0.00
Cs (0.670, 0.577, 0.340)  0.00
Cs (0.670, 0.100, 0.339)  0.00
Cs (0.008, 0.258, 0.015)  0.01
Cs (0.992, 0.742, 0.985)  0.01
Cs (0.330, 0.423, 0.660)  0.00
Te (0.500, 0.000, 0.000)  0.45
I (0.500, 0.500, 0.000)  0.01
I (0.837, 0.165, 0.673)  0.01
I (0.163, 0.835, 0.327)  0.01
Br (0.830, 0.660, 0.660)  0.00
Br (0.170, 0.340, 0.340)  0.00

Entry 11:
The following is a PBE-GGA calculation of Cs2TeI2Br4 after structural relaxation, from the Alexandria database.

Cell: 8.145 8.145 8.145 Å, 91.77 118.98 118.98°
Positions (direct):
Cs (0.500, 0.750, 0.250)
Cs (0.500, 0.250, 0.750)
Te (0.000, 0.000, 0.000)
I (0.000, 0.739, 0.739)
I (0.000, 0.261, 0.261)
Br (0.000, 0.766, 0.234)
Br (0.531, 0.766, 0.766)
Br (0.000, 0.234, 0.766)
Br (0.469, 0.234, 0.234)

Entry 12:
The following is a PBE-GGA calculation of Cs2ThI2Br4 after structural relaxation, from the Alexandria database.

Cell: 8.409 8.409 8.409 Å, 89.19 120.47 120.47°
Positions (direct):
Cs (0.500, 0.750, 0.250)
Cs (0.500, 0.250, 0.750)
Th (0.000, 0.000, 0.000)
I (0.000, 0.741, 0.741)
I (0.000, 0.259, 0.259)
Br (0.000, 0.760, 0.240)
Br (0.519, 0.760, 0.760)
Br (0.000, 0.240, 0.760)
Br (0.481, 0.240, 0.240)

In the order shown, the computed uncorrected formation energy values come out to -0.813, -1.200, -1.051, -1.047, -0.116, -0.768, -1.456, -0.898, -1.488, -1.433, -0.990, -1.700 eV per atom.